[1]
MgCrCd, optimized geometry, DFT PBE; energy above the most stable polymorph in this dataset = 0 meV per atom; ρ = 5.35 g/cm3; total moment = 4.2 μB per formula unit; formation energy from the elements = 0.293 eV/atom; crystal system = orthorhombic; D(E_F) = 0.435 states/eV per atom
1.0
-1.5744 2.0360 4.5649
1.5744 -2.0360 4.5649
1.5744 2.0360 -4.5649
Mg Cr Cd
1 1 1
Cartesian
0.0000 0.0000 0.0000 Mg
0.0000 0.0000 3.0543 Cr
0.0000 0.0000 6.1420 Cd



[2]
MgCr2Cd, optimized geometry, DFT PBE; ρ = 6.19 g/cm3; total moment = 0.0 μB per formula unit; formation energy from the elements = 0.330 eV/atom; crystal system = orthorhombic; D(E_F) = 0.656 states/eV per atom
1.0
1.5178 -2.3458 0.0000
1.5178 2.3458 0.0000
0.0000 0.0000 9.0672
Mg Cr Cd
1 2 1
Cartesian
0.0000 0.0000 0.0000 Mg
0.0000 0.0000 3.9217 Cr
1.5178 0.0000 2.3179 Cr
1.5178 0.0000 6.3701 Cd



[3]
MgCr2Cd, optimized geometry, DFT PBE; ρ = 4.72 g/cm3; total moment = 8.5 μB per formula unit; formation energy from the elements = 0.878 eV/atom; crystal system = tetragonal; D(E_F) = 0.520 states/eV per atom
1.0
-3.8083 3.8083 2.9211
3.8083 -3.8083 2.9211
3.8083 3.8083 -2.9211
Mg Cr Cd
2 4 2
Cartesian
0.0000 0.0000 0.0000 Mg
0.0000 3.8083 1.4605 Mg
1.9041 -1.8561 2.1908 Cr
1.9522 1.9041 0.7303 Cr
1.9041 5.6644 -0.7303 Cr
1.8561 1.9041 3.6513 Cr
3.8083 0.0000 1.4605 Cd
0.0000 0.0000 2.9211 Cd



[4]
MgCrCd, optimized geometry, DFT PBE; energy above the most stable polymorph in this dataset = 294 meV per atom; ρ = 4.35 g/cm3; total moment = 4.4 μB per formula unit; formation energy from the elements = 0.588 eV/atom; crystal system = cubic; D(E_F) = 0.603 states/eV per atom
1.0
0.0000 3.3035 3.3035
3.3035 0.0000 3.3035
3.3035 3.3035 0.0000
Mg Cr Cd
1 1 1
Cartesian
0.0000 0.0000 0.0000 Mg
4.9552 4.9552 4.9552 Cr
3.3035 3.3035 3.3035 Cd



[5]
Mg3CrCd, optimized geometry, DFT PBE; energy above the most stable polymorph in this dataset = 0 meV per atom; ρ = 2.74 g/cm3; total moment = 4.8 μB per formula unit; formation energy from the elements = 0.689 eV/atom; crystal system = cubic; D(E_F) = 0.580 states/eV per atom
1.0
5.2401 0.0000 0.0000
0.0000 5.2401 0.0000
0.0000 0.0000 5.2401
Mg Cr Cd
3 1 1
Cartesian
0.0000 0.0000 2.6200 Mg
0.0000 2.6200 0.0000 Mg
2.6200 0.0000 0.0000 Mg
0.0000 0.0000 0.0000 Cr
2.6200 2.6200 2.6200 Cd



[6]
MgCr4Cd, optimized geometry, DFT PBE; ρ = 6.68 g/cm3; total moment = 0.0 μB per formula unit; formation energy from the elements = 0.464 eV/atom; crystal system = cubic; D(E_F) = 1.603 states/eV per atom
1.0
0.0000 3.4994 3.4994
3.4994 0.0000 3.4994
3.4994 3.4994 0.0000
Mg Cr Cd
1 4 1
Cartesian
0.0000 0.0000 0.0000 Mg
2.6187 2.6187 2.6187 Cr
4.3801 4.3801 2.6187 Cr
4.3801 2.6187 4.3801 Cr
2.6187 4.3801 4.3801 Cr
5.2491 5.2491 5.2491 Cd



Among the records above, which one has the highest ρ?
MgCr4Cd



The lowest formation energy from the elements belongs to which entry?
number 1



Among the records above, which one has the lowest formation energy from the elements?
number 1